PmDy2Y4Mg after structural relaxation. Source: Alexandria, functional PBE-GGA.

Lattice parameters (Å, degrees): 5.735 5.735 7.653 90.00 90.00 90.00
Fractional coordinates of all 8 atoms:
Pm: 0.000 0.000 0.000
Dy: 0.000 0.000 0.500
Dy: 0.500 0.500 0.500
Y: 0.000 0.500 0.241
Y: 0.000 0.500 0.759
Y: 0.500 0.000 0.241
Y: 0.500 0.000 0.759
Mg: 0.500 0.500 0.000

Properties
- total moment (μB per cell) = 1.87
- E_form (eV per atom) = 0.10



Pm2Dy2YMg2 after structural relaxation. Source: Alexandria, functional PBE-GGA.

Lattice parameters (Å, degrees): 8.686 8.686 8.686 36.80 36.80 36.80
Fractional coordinates of all 7 atoms:
Pm: 0.156 0.156 0.156
Pm: 0.844 0.844 0.844
Dy: 0.427 0.427 0.427
Dy: 0.573 0.573 0.573
Y: 0.000 0.000 0.000
Mg: 0.290 0.290 0.290
Mg: 0.710 0.710 0.710

Properties
- total moment (μB per cell) = 0.00
- E_form (eV per atom) = -0.02



PmDyYMg after structural relaxation. Source: Alexandria, functional PBE-GGA.

Lattice parameters (Å, degrees): 5.554 5.554 5.554 60.00 60.00 60.00
Fractional coordinates of all 4 atoms:
Pm: 0.000 0.000 0.000
Dy: 0.250 0.250 0.250
Y: 0.500 0.500 0.500
Mg: 0.750 0.750 0.750

Properties
- E above lowest polymorph (meV per atom) = 75
- total moment (μB per cell) = 0.00
- E_form (eV per atom) = 0.04



PmDyMgZn after structural relaxation. Source: Alexandria, functional PBE-GGA.

Lattice parameters (Å, degrees): 5.248 5.248 5.248 60.00 60.00 60.00
Fractional coordinates of all 4 atoms:
Pm: 0.000 0.000 0.000
Dy: 0.500 0.500 0.500
Mg: 0.250 0.250 0.250
Zn: 0.750 0.750 0.750

Properties
- E above lowest polymorph (meV per atom) = 32
- total moment (μB per cell) = 0.00
- E_form (eV per atom) = -0.18



PmDyMgZn after structural relaxation. Source: Alexandria, functional PBE-GGA.

Lattice parameters (Å, degrees): 3.641 3.641 7.792 90.00 90.00 90.00
Fractional coordinates of all 4 atoms:
Pm: 0.000 0.000 0.000
Dy: 0.000 0.000 0.449
Mg: 0.500 0.500 0.716
Zn: 0.500 0.500 0.238

Properties
- E above lowest polymorph (meV per atom) = 0
- total moment (μB per cell) = 0.00
- E_form (eV per atom) = -0.21



Pr5Dy4Mg2 after structural relaxation. Source: Alexandria, functional PBE-GGA.

Lattice parameters (Å, degrees): 9.135 21.460 3.650 90.00 90.00 90.00
Fractional coordinates of all 22 atoms:
Pr: 0.000 0.000 0.000
Pr: 0.129 0.436 0.000
Pr: 0.248 0.218 0.000
Pr: 0.252 0.718 0.000
Pr: 0.371 0.936 0.000
Pr: 0.500 0.500 0.000
Pr: 0.629 0.064 0.000
Pr: 0.748 0.282 0.000
Pr: 0.752 0.782 0.000
Pr: 0.871 0.564 0.000
Dy: 0.070 0.851 0.500
Dy: 0.217 0.577 0.500
Dy: 0.283 0.077 0.500
Dy: 0.430 0.351 0.500
Dy: 0.570 0.649 0.500
Dy: 0.717 0.923 0.500
Dy: 0.783 0.423 0.500
Dy: 0.930 0.149 0.500
Mg: 0.043 0.310 0.500
Mg: 0.457 0.810 0.500
Mg: 0.543 0.190 0.500
Mg: 0.957 0.690 0.500

Properties
- total moment (μB per cell) = 0.00
- E_form (eV per atom) = 0.01



Pr4DyMg after structural relaxation. Source: Alexandria, functional PBE-GGA.

Lattice parameters (Å, degrees): 8.619 8.619 6.614 109.00 109.00 104.36
Fractional coordinates of all 12 atoms:
Pr: 0.027 0.632 0.280
Pr: 0.102 0.231 0.230
Pr: 0.231 0.102 0.730
Pr: 0.368 0.973 0.220
Pr: 0.632 0.027 0.780
Pr: 0.769 0.898 0.270
Pr: 0.898 0.769 0.770
Pr: 0.973 0.368 0.720
Dy: 0.357 0.643 0.750
Dy: 0.643 0.357 0.250
Mg: 0.405 0.595 0.250
Mg: 0.595 0.405 0.750

Properties
- E above lowest polymorph (meV per atom) = 80
- total moment (μB per cell) = 0.00
- E_form (eV per atom) = 0.06



PrDyMg4 after structural relaxation. Source: Alexandria, functional PBE-GGA.

Lattice parameters (Å, degrees): 6.252 6.252 6.252 130.08 115.38 85.84
Fractional coordinates of all 6 atoms:
Pr: 0.000 0.000 0.000
Dy: 0.500 0.000 0.500
Mg: 0.085 0.334 0.751
Mg: 0.418 0.666 0.751
Mg: 0.582 0.334 0.249
Mg: 0.915 0.666 0.249

Properties
- E above lowest polymorph (meV per atom) = 7
- total moment (μB per cell) = 0.00
- E_form (eV per atom) = -0.08